Record 1
This record from the Alexandria database describes a geometry-optimized Hf7Al2S2 structure. The functional is PBE.

Unit cell a=3.2695 b=8.7993 c=8.7993 alpha=59.36 beta=79.29 gamma=79.29
Positions (direct):
Hf 0.1550 0.1132 0.5768
Hf 0.3774 0.7196 0.5256
Hf 0.6226 0.4744 0.2804
Hf 0.5000 0.0371 0.9629
Hf 0.8256 0.0655 0.2834
Hf 0.1744 0.7166 0.9345
Hf 0.8450 0.4232 0.8868
S 0.7446 0.8472 0.6635
S 0.2554 0.3365 0.1528
Al 0.5000 0.3579 0.6421
Al 0.0000 0.7628 0.2372

Output
Uncorrected formation energy (eV per atom): -0.561
Space-group type: Imm2 (44)
Total DFT energy (no corrections) (eV/f.u.): -91.58

=====

Record 2
This record from the Alexandria database describes a geometry-optimized InSnHgH2 structure. The functional is PBE.

Unit cell a=4.0759 b=5.9988 c=4.0759 alpha=90.00 beta=90.00 gamma=90.00
Positions (direct):
Hg 0.0000 0.0000 0.0000
H 0.5000 0.0000 0.0000
H 0.0000 0.0000 0.5000
Sn 0.5000 0.5000 0.5000
In 0.0000 0.5000 0.0000

Output
Space-group type: P4/mmm (123)
Total DFT energy (no corrections) (eV/f.u.): -11.27

=====

Record 3
This record from the Alexandria database describes a geometry-optimized PrNd4Ho2Mg structure. The functional is PBE.

Unit cell a=5.8860 b=9.6128 c=5.8803 alpha=52.30 beta=90.00 gamma=90.00
Positions (direct):
Nd 0.5000 0.7446 0.2557
Nd 0.0000 0.7451 0.7544
Nd 0.0000 0.2549 0.2456
Nd 0.5000 0.2554 0.7443
Mg 0.0000 0.5000 0.5000
Ho 0.0000 0.0000 0.0000
Ho 0.5000 0.0000 0.5000
Pr 0.5000 0.5000 0.0000

Output
Space-group type: P4/mmm (123)
Total DFT energy (no corrections) (eV/f.u.): -34.11
Formation energy (eV per formula unit): 0.49

=====

Record 4
This record from the Alexandria database describes a geometry-optimized SrLi2HgRh structure. The functional is PBE.

Unit cell a=4.8985 b=5.5506 c=4.8985 alpha=90.00 beta=90.00 gamma=90.00
Positions (direct):
Rh 0.0000 0.0000 0.0000
Li 0.5000 0.0000 0.0000
Li 0.0000 0.0000 0.5000
Hg 0.5000 0.5000 0.5000
Sr 0.0000 0.5000 0.0000

Output
Space-group type: P4/mmm (123)
Total DFT energy (no corrections) (eV/f.u.): -13.04
Formation energy (eV per formula unit): 0.12
ΔE to the lowest computed polymorph (meV per atom): 160.3

=====

Record 5
This record from the Alexandria database describes a geometry-optimized Dy5Er3S8 structure. The functional is PBE.

Unit cell a=7.7802 b=7.7802 c=7.7808 alpha=60.00 beta=60.00 gamma=60.00
Positions (direct):
Er 0.0000 0.0000 0.5000
Er 0.5000 0.0000 0.5000
Er 0.0000 0.5000 0.5000
Dy 0.0000 0.0000 0.0000
Dy 0.5000 0.5000 0.0000
Dy 0.0000 0.5000 0.0000
Dy 0.5000 0.5000 0.5000
Dy 0.5000 0.0000 0.0000
S 0.2486 0.2486 0.2543
S 0.2500 0.7529 0.7471
S 0.7500 0.2471 0.2529
S 0.2471 0.7500 0.2529
S 0.7500 0.7500 0.2529
S 0.2500 0.2500 0.7471
S 0.7514 0.7514 0.7457
S 0.7529 0.2500 0.7471

Output
Uncorrected formation energy (eV per atom): -1.974
Space-group type: R-3m (166)
Total DFT energy (no corrections) (eV/f.u.): -101.31

=====

Record 6
This record from the Alexandria database describes a geometry-optimized Na3CrP structure. The functional is PBE.

Unit cell a=5.4286 b=5.4286 c=5.4286 alpha=90.00 beta=90.00 gamma=90.00
Site moments in Bohr magnetons follow the coordinates.
Positions (direct):
Na 0.5000 0.0000 0.0000  0.00
Na 0.0000 0.0000 0.5000  0.00
Na 0.0000 0.5000 0.0000  0.00
P 0.0000 0.0000 0.0000  0.11
Cr 0.5000 0.5000 0.5000  4.46

Output
Space-group type: Pm-3m (221)
Total DFT energy (no corrections) (eV/f.u.): -16.71
Formation energy (eV per formula unit): 2.28

=====

Record 7
This record from the Alexandria database describes a geometry-optimized ErTm2CdRh4 structure. The functional is PBE.

Unit cell a=4.7260 b=4.7260 c=8.1534 alpha=73.15 beta=73.15 gamma=60.00
Positions (direct):
Cd 0.5000 0.5000 0.5000
Tm 0.2442 0.2442 0.2675
Tm 0.7558 0.7558 0.7325
Rh 0.6255 0.6255 0.1235
Rh 0.1223 0.1223 0.6332
Rh 0.8777 0.8777 0.3668
Rh 0.3745 0.3745 0.8765
Er 0.0000 0.0000 0.0000

Output
Space-group type: R-3m (166)
Total DFT energy (no corrections) (eV/f.u.): -50.36
Formation energy (eV per formula unit): -6.54